1.
Here is a relaxed structure of ZnIn from Alexandria. Energies are from PBE.

a = 4.788 Å, b = 4.788 Å, c = 5.664 Å
α = 90.00°, β = 90.00°, γ = 120.00°
Sites, in units of the cell vectors:
Zn 0.333 0.667 0.250
Zn 0.667 0.333 0.750
In 0.333 0.667 0.750
In 0.667 0.333 0.250

Results
- SG = P6_3/mmc
- total energy (eV per atom) = -1.749

***

2.
Here is a relaxed structure of ZnIn2 from Alexandria. Energies are from PBE.

a = 5.107 Å, b = 5.107 Å, c = 3.183 Å
α = 90.00°, β = 90.00°, γ = 120.00°
Sites, in units of the cell vectors:
Zn 0.000 0.000 0.000
In 0.333 0.667 0.256
In 0.667 0.333 0.744

Results
- SG = P-3m1
- total energy (eV per atom) = -2.118

***

3.
Here is a relaxed structure of ZnIn from Alexandria. Energies are from PBE.

a = 3.980 Å, b = 4.153 Å, c = 5.521 Å
α = 90.00°, β = 109.83°, γ = 90.00°
Sites, in units of the cell vectors:
Zn 0.072 0.250 0.152
Zn 0.928 0.750 0.848
In 0.356 0.250 0.702
In 0.644 0.750 0.298

Results
- SG = P2_1/m
- total energy (eV per atom) = -1.945

***

- Look up the total energy of the first one.
  -1.749 eV per atom

***

- total energy of number 2 (ZnIn2)?
  -2.118 eV per atom